[1]
Ba3InGe4: optimized geometry, PBE.

DFT formation energy, meV/atom: -398

```
data_Ba3InGe4
_chemical_formula_sum 'Ba6 In2 Ge8'
_space_group_name_H-M_alt 'I m m m'
_space_group_IT_number 71
_space_group_name_Hall '-I 2 2'
_cell_length_a 5.144
_cell_length_b 6.217
_cell_length_c 17.318
_cell_angle_alpha 90.00
_cell_angle_beta 90.00
_cell_angle_gamma 90.00
loop_
_atom_site_label
_atom_site_fract_x
_atom_site_fract_y
_atom_site_fract_z
Ba1 0.000 0.000 0.000
Ba2 0.000 0.500 0.189
In1 0.000 0.000 0.500
Ge1 0.000 0.307 0.380
```

***

[2]
Ca2Mg: optimized geometry, PBE.

DFT formation energy, meV/atom: -52

```
data_Ca2Mg
_chemical_formula_sum 'Ca4 Mg2'
_space_group_name_H-M_alt 'C 1 2/m 1'
_space_group_IT_number 12
_cell_length_a 5.510
_cell_length_b 5.509
_cell_length_c 7.407
_cell_angle_alpha 90.00
_cell_angle_beta 111.69
_cell_angle_gamma 90.00
loop_
_space_group_symop_operation_xyz
'x,y,z'
'-x,-y,-z'
'-x,y,-z'
'x,-y,z'
'x+1/2,y+1/2,z'
'-x+1/2,-y+1/2,-z'
'-x+1/2,y+1/2,-z'
'x+1/2,-y+1/2,z'
loop_
_atom_site_label
_atom_site_fract_x
_atom_site_fract_y
_atom_site_fract_z
Ca1 0.148 0.000 0.296
Mg1 0.000 0.500 0.000
```